# LaTiNO2 | Alexandria via LeMat-Bulk | PBEsol | optimized geometry
# * E_tot: -9.280 eV per atom
data_LaTiNO2
_cell_length_a 5.483
_cell_length_b 7.898
_cell_length_c 5.552
_cell_angle_alpha 90.00
_cell_angle_beta 90.00
_cell_angle_gamma 90.00
_symmetry_space_group_name_H-M 'I m m a'
_symmetry_Int_Tables_number 74
_symmetry_space_group_name_Hall '-I 2b 2'
loop_
_atom_site_label
_atom_site_type_symbol
_atom_site_fract_x
_atom_site_fract_y
_atom_site_fract_z
La1 La 0.000 0.250 0.003
Ti1 Ti 0.000 0.000 0.500
N1 N 0.000 0.250 0.568
O1 O 0.250 0.036 0.250